HfAlV3 | PBE | relaxed

Properties
- ΔH_f (0 K): 991 meV per atom
- Space-group type: Pm-3m (221)
- Electronic total energy: -36.10 eV per cell

abc: 4.4942 4.4942 4.4942
angles: 90.00 90.00 90.00
Positions (direct):
Hf1 0.0000 0.0000 0.0000
Al1 0.5000 0.5000 0.5000
V1 0.0000 0.5000 0.5000
V2 0.5000 0.0000 0.5000
V3 0.5000 0.5000 0.0000

***

LiNd2Re | PBE | relaxed

Properties
- ΔH_f (0 K): 173 meV per atom
- Space-group type: Fm-3m (225)
- Electronic total energy: -23.20 eV per cell

abc: 5.0607 5.0607 5.0607
angles: 60.00 60.00 60.00
Positions (direct):
Li1 0.0000 0.0000 0.0000
Nd1 0.2500 0.2500 0.2500
Nd2 0.7500 0.7500 0.7500
Re1 0.5000 0.5000 0.5000